(1)
The following is a PBE calculation of Cs2UBr7 after structural relaxation, from the Alexandria database.

a b c (Å): 19.5670 8.9606 13.2056
angles (deg): 90.00 132.06 90.00
Last column: nearest neighbours and their distance in Å.
Space group C2/c (No. 15)
One atom of each set of equivalent atoms:
Cs 0.1392 0.1544 0.0525  6 Br 3.60-3.89
U 0.0000 0.2933 0.2500  7 Br 2.70-2.95
Br 0.0000 0.3954 0.7500  1 U 2.79
Br 0.0847 0.0224 0.2485  1 U 2.95
Br 0.0926 0.2958 0.5192  1 U 2.70
Br 0.1641 0.3765 0.3178  1 U 2.80

- Excess energy over the best structure of this formula in the dataset: 0 meV per atom
- N(E_F): 3.458 states/eV per cell
- Calculated total energy: -156.26 eV/cell
- E_form (uncorrected): -14.360 eV/f.u.
- Total magnetization: 0.999 μB/f.u.
- V: 43.0 Å³/atom
- Theoretical density: 4.11 g/cm³

=====

(2)
The following is a PBE calculation of CsU3Br10 after structural relaxation, from the Alexandria database.

a b c (Å): 15.4072 15.4072 15.4072
angles (deg): 90.00 90.00 90.00
Last column: nearest neighbours and their distance in Å.
Space group Fm-3m (No. 225)
One atom of each set of equivalent atoms:
Cs 0.2500 0.2500 0.2500  4 Br 3.62
U 0.0000 0.0000 0.2384  8 Br 2.96-3.14
Br 0.0000 0.1681 0.3319  2 U 2.96
Br 0.1144 0.1144 0.1144  3 U 3.14

- N(E_F): 72.245 states/eV per cell
- Calculated total energy: -558.57 eV/cell
- E_form (uncorrected): -18.374 eV/f.u.
- Total magnetization: 9.000 μB/f.u.
- V: 32.7 Å³/atom
- Theoretical density: 5.98 g/cm³

=====

(3)
The following is a PBE calculation of CsUBr4 after structural relaxation, from the Alexandria database.

a b c (Å): 18.0679 7.1293 8.3137
angles (deg): 90.00 100.21 90.00
Last column: nearest neighbours and their distance in Å.
Space group C2/c (No. 15)
One atom of each set of equivalent atoms:
Cs 0.0000 0.2197 0.2500  6 Br 3.63-3.88
U 0.2500 0.2500 0.0000  6 Br 2.86-2.96
Br 0.0936 0.3366 0.9111  1 U 2.86
Br 0.2120 0.0938 0.3044  2 U 2.95-2.96

- Excess energy over the best structure of this formula in the dataset: 0 meV per atom
- N(E_F): 1.147 states/eV per cell
- Calculated total energy: -110.02 eV/cell
- E_form (uncorrected): -8.672 eV/f.u.
- Total magnetization: 3.000 μB/f.u.
- V: 43.9 Å³/atom
- Theoretical density: 4.35 g/cm³

=====

(4)
The following is a PBE calculation of Cs4UBr7 after structural relaxation, from the Alexandria database.

a b c (Å): 18.3792 5.9254 12.5611
angles (deg): 90.00 123.48 90.00
Last column: nearest neighbours and their distance in Å.
Space group C2/m (No. 12)
One atom of each set of equivalent atoms:
Cs 0.0732 0.0000 0.2583  6 Br 3.55-3.95
Cs 0.2302 0.0000 0.8414  5 Br 3.58-3.87
U 0.0000 0.5000 0.5000  6 Br 2.87-2.96
Br 0.0000 0.0000 0.5000  2 U 2.96
Br 0.0739 0.5000 0.7699  1 U 2.87
Br 0.1392 0.0000 0.0409  5 Cs 3.55-3.70
Br 0.1692 0.5000 0.5363  1 U 2.88

- N(E_F): 1.180 states/eV per cell
- Calculated total energy: -91.60 eV/cell
- E_form (uncorrected): -19.389 eV/f.u.
- Total magnetization: 3.000 μB/f.u.
- V: 47.5 Å³/atom
- Theoretical density: 3.87 g/cm³